# PBE Cd3TeF4, optimized geometry
# magnetic moment = 0.00 μB per formula unit
# uncorrected formation energy = -1728 meV per atom
# crystal system = monoclinic
data_Cd3TeF4
_chemical_formula_sum 'Cd6 Te2 F8'
_symmetry_space_group_name_H-M 'P 1'
_symmetry_Int_Tables_number 1
_cell_length_a 5.8164
_cell_length_b 7.4670
_cell_length_c 8.3695
_cell_angle_alpha 105.98
_cell_angle_beta 90.00
_cell_angle_gamma 112.92
loop_
_symmetry_equiv_pos_as_xyz
'x,y,z'
loop_
_atom_site_label
_atom_site_fract_x
_atom_site_fract_y
_atom_site_fract_z
F1 0.2969 0.2767 0.9449
F2 0.9798 0.2767 0.4449
F3 0.5184 0.3940 0.6049
F4 0.8756 0.3940 0.1049
F5 0.0844 0.5911 0.8298
F6 0.5067 0.5911 0.3298
F7 0.0056 0.6674 0.4823
F8 0.6618 0.6674 0.9823
Te1 0.6820 0.9723 0.7191
Te2 0.2903 0.9723 0.2191
Cd1 0.6787 0.3653 0.8438
Cd2 0.6866 0.3653 0.3438
Cd3 0.2898 0.5776 0.5895
Cd4 0.2878 0.5776 0.0895
Cd5 0.0105 0.9354 0.9356
Cd6 0.9250 0.9354 0.4356

# PBE Tm7Mg2Pt2, optimized geometry
# magnetic moment = 0.00 μB per formula unit
# crystal system = orthorhombic
# energy of formation from the pure elements = -0.382 eV per atom
data_Tm7Mg2Pt2
_chemical_formula_sum 'Tm7 Mg2 Pt2'
_symmetry_space_group_name_H-M 'P 1'
_symmetry_Int_Tables_number 1
_cell_length_a 6.7923
_cell_length_b 7.0956
_cell_length_c 6.7923
_cell_angle_alpha 90.00
_cell_angle_beta 105.70
_cell_angle_gamma 90.00
loop_
_symmetry_equiv_pos_as_xyz
'x,y,z'
loop_
_atom_site_label
_atom_site_fract_x
_atom_site_fract_y
_atom_site_fract_z
Tm1 0.0000 0.2502 0.5000
Tm2 0.5000 0.7498 0.0000
Tm3 0.0000 0.7498 0.5000
Tm4 0.5000 0.2502 0.0000
Tm5 0.0000 0.0000 0.0000
Tm6 0.5000 0.7549 0.5000
Tm7 0.5000 0.2451 0.5000
Mg1 0.8275 0.5000 0.8275
Mg2 0.1725 0.5000 0.1725
Pt1 0.7151 0.0000 0.2849
Pt2 0.2849 0.0000 0.7151

# PBE La13Dy2, optimized geometry
# magnetic moment = 0.00 μB per formula unit
# crystal system = trigonal
# energy of formation from the pure elements = 0.122 eV per atom
data_La13Dy2
_chemical_formula_sum 'La13 Dy2'
_symmetry_space_group_name_H-M 'P 1'
_symmetry_Int_Tables_number 1
_cell_length_a 12.6171
_cell_length_b 12.6171
_cell_length_c 12.6171
_cell_angle_alpha 33.70
_cell_angle_beta 33.70
_cell_angle_gamma 33.70
loop_
_symmetry_equiv_pos_as_xyz
'x,y,z'
loop_
_atom_site_label
_atom_site_fract_x
_atom_site_fract_y
_atom_site_fract_z
La1 0.5000 0.5000 0.5000
La2 0.2149 0.7020 0.2149
La3 0.2149 0.2149 0.7020
La4 0.7020 0.2149 0.2149
La5 0.2980 0.7851 0.7851
La6 0.7851 0.2980 0.7851
La7 0.7851 0.7851 0.2980
La8 0.0454 0.5440 0.0454
La9 0.0454 0.0454 0.5440
La10 0.5440 0.0454 0.0454
La11 0.4560 0.9546 0.9546
La12 0.9546 0.4560 0.9546
La13 0.9546 0.9546 0.4560
Dy1 0.2936 0.2936 0.2936
Dy2 0.7064 0.7064 0.7064

We obtain energy values of -0.125, -0.170, -0.175 Ha/atom for the records listed above, in that order.